# K3TiO4F3

A crystal of K3TiO4F3 relaxed with PBEsol (SCAN, Alexandria via LeMat-Bulk).

Computed properties:
- DOS at the Fermi energy (states/eV/f.u.) = 0.00
- VASP energy (eV per atom) = -9.4090
- energy relative to the elements, uncorrected (eV/atom) = -2.4489

Cell and atoms, written as CIF:
```
data_K3TiO4F3
_chemical_formula_sum 'K12 Ti4 O16 F12'
_space_group_name_H-M_alt 'C m c m'
_space_group_IT_number 63
_space_group_name_Hall '-C 2c 2'
_cell_length_a 9.337
_cell_length_b 8.185
_cell_length_c 8.815
_cell_angle_alpha 90.00
_cell_angle_beta 90.00
_cell_angle_gamma 90.00
loop_
_atom_site_label
_atom_site_fract_x
_atom_site_fract_y
_atom_site_fract_z
K1 0.000 0.200 0.250
K2 0.201 0.500 0.000
Ti1 0.000 0.241 0.750
O1 0.146 0.077 0.750
O2 0.211 0.239 0.750
F1 0.000 0.263 0.531
F2 0.000 0.483 0.750
```

# K5U2O4F9

A crystal of K5U2O4F9 relaxed with PBEsol (SCAN, Alexandria via LeMat-Bulk).

Computed properties:
- DOS at the Fermi energy (states/eV/f.u.) = 0.00
- VASP energy (eV per atom) = -18.5662
- energy relative to the elements, uncorrected (eV/atom) = -3.2920

Cell and atoms, written as CIF:
```
data_K5U2O4F9
_chemical_formula_sum 'K20 U8 O16 F36'
_space_group_name_H-M_alt 'C 1 2/c 1'
_space_group_IT_number 15
_space_group_name_Hall '-C 2yc'
_cell_length_a 19.564
_cell_length_b 6.105
_cell_length_c 11.483
_cell_angle_alpha 90.00
_cell_angle_beta 101.40
_cell_angle_gamma 90.00
loop_
_atom_site_label
_atom_site_fract_x
_atom_site_fract_y
_atom_site_fract_z
K1 0.024 0.248 0.416
K2 0.180 0.256 0.135
K3 0.250 0.250 0.500
U1 0.113 0.242 0.785
O1 0.080 0.491 0.222
O2 0.144 0.025 0.349
F1 0.000 0.087 0.750
F2 0.066 0.326 0.941
F3 0.090 0.072 0.610
F4 0.198 0.391 0.920
F5 0.204 0.298 0.698
```